# 1
First-principles (PBE) data for an optimized crystal structure of Ba2AlCo, as listed in Alexandria via LeMat-Bulk.

Results
D(E_F)   0.65 states/eV/atom
M_tot   0.00 μB per formula unit
Energy of formation from the pure elements   0.154 eV per atom

a b c (Å): 7.9102 7.9102 7.9102
angles (deg): 148.21 145.32 47.76
With the nearest neighbours (Å) after each atom.
Element x y z (fractional)
Ba: 0.0067 0.0067 0.0000  2 Al 3.40, 4 Co 3.54
Co: 0.4021 0.4021 0.0000  2 Al 2.36
Al: 0.3370 0.8370 0.5000  2 Co 2.36
Ba: 0.7542 0.2542 0.5000  2 Co 3.18, 4 Al 3.42

=====

# 2
First-principles (PBE) data for an optimized crystal structure of YFeW2Au, as listed in Alexandria via LeMat-Bulk.

Results
D(E_F)   1.29 states/eV/atom
M_tot   1.77 μB per formula unit
Energy of formation from the pure elements   2.687 eV per atom

a b c (Å): 4.8894 4.5204 4.8894
angles (deg): 90.00 90.00 90.00
With the nearest neighbours (Å) after each atom.
Element x y z (fractional)
Au: 0.5000 0.5000 0.5000  8 W 3.33, 4 Fe 3.46
W: 0.5000 0.0000 0.0000  2 Y 2.44
Fe: 0.0000 0.5000 0.0000  2 Y 2.26
Y: 0.0000 0.0000 0.0000  2 Fe 2.26, 4 W 2.44
W: 0.0000 0.0000 0.5000  2 Y 2.44

=====

# 3
First-principles (PBE) data for an optimized crystal structure of MnZnW2, as listed in Alexandria via LeMat-Bulk.

Results
D(E_F)   0.82 states/eV/atom
M_tot   1.90 μB per formula unit
Energy of formation from the pure elements   0.214 eV per atom

a b c (Å): 4.3770 2.6715 5.0419
angles (deg): 82.06 90.00 90.00
With the nearest neighbours (Å) after each atom.
Element x y z (fractional)
W: 0.5000 0.2199 0.2596  3 Mn 2.66-2.95, 4 W 2.67-2.70, 4 Zn 2.75-2.91
Zn: 0.0000 0.5970 0.4981  2 Mn 2.58, 5 W 2.66-2.81, 2 Zn 2.67
Mn: 0.5000 0.6854 0.7579  2 Zn 2.58, 4 W 2.66-2.71, 2 Mn 2.67
W: 0.0000 0.9978 0.9843  2 Mn 2.66, 3 Zn 2.66-2.81, 4 W 2.67-2.70

=====

# 4
First-principles (PBE) data for an optimized crystal structure of CaTcP2, as listed in Alexandria via LeMat-Bulk.

Results
D(E_F)   0.93 states/eV/atom
M_tot   0.74 μB per formula unit
Energy of formation from the pure elements   0.403 eV per atom

a b c (Å): 4.5247 4.5247 4.5247
angles (deg): 60.00 60.00 60.00
With the nearest neighbours (Å) after each atom.
Element x y z (fractional)
Tc: 0.7500 0.7500 0.7500  4 P 2.77, 4 Ca 2.77
Ca: 0.5000 0.5000 0.5000  4 Tc 2.77, 4 P 2.77
P: 0.2500 0.2500 0.2500  4 Ca 2.77, 4 P 2.77
P: 0.0000 0.0000 0.0000  4 P 2.77, 4 Tc 2.77

=====

# 5
First-principles (PBE) data for an optimized crystal structure of BWBr3, as listed in Alexandria via LeMat-Bulk.

Results
D(E_F)   0.96 states/eV/atom
ΔE_f (raw)   1525.0 meV per atom
M_tot   4.63 μB per formula unit

a b c (Å): 4.7599 4.7599 4.7599
angles (deg): 90.00 90.00 90.00
With the nearest neighbours (Å) after each atom.
Element x y z (fractional)
Br: 0.5000 0.0000 0.0000  2 B 2.38
Br: 0.0000 0.0000 0.5000  2 B 2.38
B: 0.0000 0.0000 0.0000  6 Br 2.38
Br: 0.0000 0.5000 0.0000  2 B 2.38
W: 0.5000 0.5000 0.5000  12 Br 3.37

=====

# 6
First-principles (PBE) data for an optimized crystal structure of SrCd3In, as listed in Alexandria via LeMat-Bulk.

Results
D(E_F)   1.79 states/eV/atom
M_tot   0.00 μB per formula unit
Energy of formation from the pure elements   0.607 eV per atom

a b c (Å): 6.2408 6.2408 6.2408
angles (deg): 90.00 90.00 90.00
With the nearest neighbours (Å) after each atom.
Element x y z (fractional)
Sr: 0.0000 0.0000 0.0000  6 Cd 3.12
Cd: 0.5000 0.0000 0.0000  2 Sr 3.12
In: 0.5000 0.5000 0.5000  12 Cd 4.41
Cd: 0.0000 0.5000 0.0000  2 Sr 3.12
Cd: 0.0000 0.0000 0.5000  2 Sr 3.12

=====

# 7
First-principles (PBE) data for an optimized crystal structure of Ba2TlBr2O2, as listed in Alexandria via LeMat-Bulk.

Results
D(E_F)   0.31 states/eV/atom
ΔE_f (raw)   -1822.0 meV per atom
M_tot   0.00 μB per formula unit

a b c (Å): 4.6751 4.6751 9.1017
angles (deg): 104.88 104.88 90.00
With the nearest neighbours (Å) after each atom.
Element x y z (fractional)
Br: 0.8115 0.8115 0.6229  1 Tl 3.20, 1 Ba 3.48
Ba: 0.3936 0.3936 0.7873  4 O 2.95
Tl: 0.0000 0.0000 0.0000  4 O 2.34
Br: 0.1885 0.1885 0.3771  1 Tl 3.20, 1 Ba 3.48
O: 0.0000 0.5000 0.0000  2 Tl 2.34
O: 0.5000 0.0000 0.0000  2 Tl 2.34
Ba: 0.6064 0.6064 0.2127  4 O 2.95

=====

# 8
First-principles (PBE) data for an optimized crystal structure of Hf2PSe2, as listed in Alexandria via LeMat-Bulk.

Results
D(E_F)   0.67 states/eV/atom
ΔE_f (raw)   -450.6 meV per atom
M_tot   0.00 μB per formula unit

a b c (Å): 7.6849 7.6849 3.2315
angles (deg): 90.00 90.00 90.00
With the nearest neighbours (Å) after each atom.
Element x y z (fractional)
Hf: 0.6616 0.8384 0.5000  6 Se 2.75-2.79
Se: 0.3665 0.8665 0.0000  6 Hf 2.75-2.79, 1 Se 2.90, 2 P 3.00
Hf: 0.3384 0.1616 0.5000  6 Se 2.75-2.79
P: 0.0000 0.0000 0.0000  4 Se 3.00, 2 P 3.23, 8 Hf 3.30
Se: 0.8665 0.6335 0.0000  6 Hf 2.75-2.79, 1 Se 2.90, 2 P 3.00
P: 0.5000 0.5000 0.0000  4 Se 3.00, 2 P 3.23, 8 Hf 3.30
Se: 0.1335 0.3665 0.0000  6 Hf 2.75-2.79, 1 Se 2.90, 2 P 3.00
Hf: 0.1616 0.6616 0.5000  6 Se 2.75-2.79
Hf: 0.8384 0.3384 0.5000  6 Se 2.75-2.79
Se: 0.6335 0.1335 0.0000  6 Hf 2.75-2.79, 1 Se 2.90, 2 P 3.00

=====

Raw total energy values, unit eV/atom, following the record order: -3.52; -6.13; -8.87; -5.39; -3.40; -0.83; -4.60; -6.91.